A relaxed structure of Tl4SeI. Source: the Alexandria database, functional PBE.

a = 9.858 Å, b = 6.383 Å, c = 9.405 Å
α = 95.35°, β = 111.39°, γ = 118.01°
Atoms (fractional coordinates):
Tl (0.212, 0.103, 0.584)
Tl (0.033, 0.827, 0.127)
Tl (0.128, 0.519, 0.416)
Tl (0.406, 0.700, 0.873)
Tl (0.788, 0.897, 0.416)
Tl (0.872, 0.481, 0.584)
Tl (0.967, 0.173, 0.873)
Tl (0.594, 0.300, 0.127)
Se (0.824, 0.074, 0.147)
Se (0.176, 0.926, 0.853)
I (0.358, 0.608, 0.215)
I (0.642, 0.392, 0.785)

Calculated values
uncorrected formation energy: -1.80 eV per formula unit
space group: C2/c, No. 15